1.
# AgBi2Se2

A geometry-optimized AgBi2Se2 structure (GGA-PBEsol, the Alexandria database).

Lattice parameters (Å, degrees): 5.9695 5.9695 5.9695 122.59 122.59 85.57
Last column: nearest neighbours and their distance in Å.
Fractional positions:
Ag 0.0000 0.0000 0.0000  2 Bi 2.77
Bi 0.3164 0.3164 0.0000  1 Ag 2.77, 4 Se 2.93
Bi 0.6836 0.6836 0.0000  1 Ag 2.77, 4 Se 2.93
Se 0.2500 0.7500 0.5000  4 Bi 2.93
Se 0.7500 0.2500 0.5000  4 Bi 2.93

For the distance to the lowest polymorph of the same formula, the calculation gives 0.29 eV per formula unit. As for the symmetry: No. 139.

=====

2.
# AgBiSe2

A geometry-optimized AgBiSe2 structure (GGA-PBEsol, the Alexandria database).

Lattice parameters (Å, degrees): 9.0016 9.0016 9.0016 23.57 23.57 23.57
Last column: nearest neighbours and their distance in Å.
Fractional positions:
Ag 0.0000 0.0000 0.0000  6 Se 2.61
Bi 0.5000 0.5000 0.5000  2 Se 2.86
Se 0.3912 0.3912 0.3912  3 Ag 2.61, 1 Bi 2.86
Se 0.6088 0.6088 0.6088  3 Ag 2.61, 1 Bi 2.86

As for the symmetry: No. 166.

=====

3.
# AgBi2Se2

A geometry-optimized AgBi2Se2 structure (GGA-PBEsol, the Alexandria database).

Lattice parameters (Å, degrees): 7.5094 7.5094 4.3945 90.00 90.00 90.00
Last column: nearest neighbours and their distance in Å.
Fractional positions:
Ag 0.0000 0.0000 0.0000  4 Se 2.81
Ag 0.5000 0.5000 0.0000  4 Se 2.81
Bi 0.1569 0.3431 0.5000  6 Se 2.92-3.25
Bi 0.3431 0.8431 0.5000  6 Se 2.92-3.25
Bi 0.6569 0.1569 0.5000  6 Se 2.92-3.25
Bi 0.8431 0.6569 0.5000  6 Se 2.92-3.25
Se 0.1621 0.6621 0.0000  2 Ag 2.81, 2 Bi 2.92
Se 0.3379 0.1621 0.0000  2 Ag 2.81, 2 Bi 2.92
Se 0.6621 0.8379 0.0000  2 Ag 2.81, 2 Bi 2.92
Se 0.8379 0.3379 0.0000  2 Ag 2.81, 2 Bi 2.92

For the distance to the lowest polymorph of the same formula, the calculation gives 0.30 eV per formula unit. As for the symmetry: No. 127.

=====

4.
# AgBiSe2

A geometry-optimized AgBiSe2 structure (GGA-PBEsol, the Alexandria database).

Lattice parameters (Å, degrees): 7.8065 7.8065 7.8065 133.43 133.43 67.99
Last column: nearest neighbours and their distance in Å.
Fractional positions:
Ag 0.0000 0.0000 0.0000  4 Se 2.62
Ag 0.7500 0.2500 0.5000  4 Se 2.62
Bi 0.2500 0.7500 0.5000  4 Se 2.82
Bi 0.5000 0.5000 0.0000  4 Se 2.82
Se 0.0953 0.6250 0.9703  2 Ag 2.62, 2 Bi 2.82
Se 0.3750 0.3453 0.4703  2 Ag 2.62, 2 Bi 2.82
Se 0.6547 0.1250 0.0297  2 Ag 2.62, 2 Bi 2.82
Se 0.8750 0.9047 0.5297  2 Ag 2.62, 2 Bi 2.82

As for the symmetry: No. 122.

=====

5.
# AgBiSe2

A geometry-optimized AgBiSe2 structure (GGA-PBEsol, the Alexandria database).

Lattice parameters (Å, degrees): 8.3384 8.3384 8.3384 29.74 29.74 29.74
Last column: nearest neighbours and their distance in Å.
Fractional positions:
Ag 0.0000 0.0000 0.0000  2 Se 2.43
Bi 0.5000 0.5000 0.5000  6 Se 2.92
Se 0.1015 0.1015 0.1015  1 Ag 2.43
Se 0.8985 0.8985 0.8985  1 Ag 2.43

As for the symmetry: No. 166.

=====

6.
# AgBi2Se2

A geometry-optimized AgBi2Se2 structure (GGA-PBEsol, the Alexandria database).

Lattice parameters (Å, degrees): 8.0294 8.0294 4.0004 90.00 90.00 90.00
Last column: nearest neighbours and their distance in Å.
Fractional positions:
Ag 0.0000 0.0000 0.0000  4 Bi 2.95
Ag 0.5000 0.5000 0.0000  4 Bi 2.95
Bi 0.1802 0.3198 0.0000  2 Se 2.82, 2 Ag 2.95
Bi 0.3198 0.8198 0.0000  2 Se 2.82, 2 Ag 2.95
Bi 0.6802 0.1802 0.0000  2 Se 2.82, 2 Ag 2.95
Bi 0.8198 0.6802 0.0000  2 Se 2.82, 2 Ag 2.95
Se 0.1451 0.6451 0.5000  2 Bi 2.82
Se 0.3549 0.1451 0.5000  2 Bi 2.82
Se 0.6451 0.8549 0.5000  2 Bi 2.82
Se 0.8549 0.3549 0.5000  2 Bi 2.82

For the distance to the lowest polymorph of the same formula, the calculation gives 0.00 eV per formula unit. As for the symmetry: No. 127.

=====

| no. | spin magnetization (μB per atom) | ΔE_f (raw) (eV per atom) | DFT total energy (eV/atom) |
| --- | --- | --- | --- |
| 1 | 0.0000 | 0.07 | -3.8483 |
| 2 | 0.0001 | 0.08 | -3.7448 |
| 3 | 0.0000 | 0.07 | -3.8457 |
| 4 | 0.0000 | -0.10 | -3.9260 |
| 5 | 0.0000 | -0.13 | -3.9571 |
| 6 | 0.0000 | 0.01 | -3.9066 |